No. 1
A plane-wave DFT calculation with PBE-GGA was carried out for a relaxed structure of InSe2S.

Cell lengths 4.896, 4.896, 4.896 Å; angles 60.00, 60.00, 60.00 degrees
Fractional coordinates of all 4 atoms:
1 S 0.000 0.000 0.000
2 Se 0.250 0.250 0.250
3 Se 0.750 0.750 0.750
4 In 0.500 0.500 0.500

Calculated values
Distance to the lowest polymorph of the same formula in meV per atom: 402.1
DFT total energy in eV per atom: -3.0673
SG: Fm-3m
Formation energy without anion corrections in eV/atom: 0.391
Magnetization in μB/cell: 0.0

***

No. 2
A plane-wave DFT calculation with PBE-GGA was carried out for a relaxed structure of BaHoSnHg.

Cell lengths 5.624, 5.624, 5.624 Å; angles 60.00, 60.00, 60.00 degrees
Fractional coordinates of all 4 atoms:
1 Ba 0.500 0.500 0.500
2 Hg 0.750 0.750 0.750
3 Sn 0.250 0.250 0.250
4 Ho 0.000 0.000 0.000

Calculated values
DFT total energy in eV per atom: -3.1420
SG: F-43m
Magnetization in μB/cell: 0.0
Energy of formation in eV/atom: -0.4408

***

No. 3
A plane-wave DFT calculation with PBE-GGA was carried out for a relaxed structure of MgPPt2.

Cell lengths 4.486, 4.486, 4.486 Å; angles 60.00, 60.00, 60.00 degrees
Fractional coordinates of all 4 atoms:
1 Mg 0.500 0.500 0.500
2 P 0.750 0.750 0.750
3 Pt 0.000 0.000 0.000
4 Pt 0.250 0.250 0.250

Calculated values
DFT total energy in eV per atom: -4.9363
SG: F-43m
Magnetization in μB/cell: 0.0
Energy of formation in eV/atom: -0.1648

***

No. 4
A plane-wave DFT calculation with PBE-GGA was carried out for a relaxed structure of Sm2ErTlC.

Cell lengths 4.873, 5.065, 5.065 Å; angles 90.00, 90.00, 90.00 degrees
Fractional coordinates of all 5 atoms:
1 Sm 0.000 0.000 0.500
2 Sm 0.000 0.500 0.000
3 Er 0.500 0.000 0.000
4 Tl 0.500 0.500 0.500
5 C 0.000 0.000 0.000

Calculated values
DFT total energy in eV per atom: -5.5016
SG: P4/mmm
Magnetization in μB/cell: 0.0
Energy of formation in eV/atom: -0.3834

***

No. 5
A plane-wave DFT calculation with PBE-GGA was carried out for a relaxed structure of TbPu2TcC4.

Cell lengths 3.494, 6.042, 12.228 Å; angles 90.00, 90.00, 106.81 degrees
Each line ends with the local moment (μB).
Fractional coordinates of all 16 atoms:
1 Tb 0.108 0.215 0.750  0.01
2 Tb 0.892 0.785 0.250  0.01
3 Pu 0.369 0.739 0.539  4.50
4 Pu 0.631 0.261 0.039  4.50
5 Pu 0.631 0.261 0.461  4.50
6 Pu 0.369 0.739 0.961  4.50
7 Tc 0.843 0.687 0.750  0.23
8 Tc 0.157 0.313 0.250  0.23
9 C 0.260 0.520 0.128  -0.07
10 C 0.740 0.480 0.628  -0.07
11 C 0.740 0.480 0.872  -0.07
12 C 0.260 0.520 0.372  -0.07
13 C 0.000 0.000 0.500  -0.24
14 C 0.000 0.000 0.000  -0.24
15 C 0.436 0.871 0.750  -0.03
16 C 0.564 0.129 0.250  -0.03

Calculated values
DFT total energy in eV per atom: -9.9971
SG: Cmcm
Magnetization in μB/cell: 18.2
Energy of formation in eV/atom: 0.0724

***

No. 6
A plane-wave DFT calculation with PBE-GGA was carried out for a relaxed structure of DyGeRh2.

Cell lengths 3.930, 3.930, 9.624 Å; angles 90.00, 90.00, 90.00 degrees
Fractional coordinates of all 8 atoms:
1 Dy 0.500 0.000 0.200
2 Dy 0.000 0.500 0.800
3 Ge 0.500 0.000 0.654
4 Ge 0.000 0.500 0.346
5 Rh 0.500 0.000 0.907
6 Rh 0.000 0.500 0.093
7 Rh 0.000 0.000 0.500
8 Rh 0.500 0.500 0.500

Calculated values
DFT total energy in eV per atom: -6.7212
SG: P4/nmm
Magnetization in μB/cell: 0.0
Energy of formation in eV/atom: -0.7407